! Na4Ni3TeO8 | Alexandria via LeMat-Bulk | PBE+U | relaxed; values from VASP
&SYSTEM
  ibrav = 0, nat = 16, ntyp = 4
/
ATOMIC_SPECIES
Na 22.99 Na.upf
Ni 58.69 Ni.upf
Te 127.60 Te.upf
O 16.00 O.upf
ATOMIC_POSITIONS angstrom
Na 0.000 0.000 0.000
Na -1.551 -0.896 5.363
Na -1.551 0.896 10.727
Na 0.000 1.791 5.363
Ni -3.102 0.000 8.045
Ni -1.551 0.896 2.682
Ni 1.551 0.896 2.682
Te 0.000 0.000 8.045
O 0.000 0.000 3.714
O -1.422 -0.821 9.145
O 0.000 -1.642 6.946
O -1.422 0.821 6.946
O 1.422 -0.821 9.145
O 0.000 1.642 9.145
O 1.422 0.821 6.946
O 0.000 0.000 12.377
CELL_PARAMETERS angstrom
3.102 1.791 5.363
-3.102 1.791 5.363
0.000 -3.582 5.363
! DFT total energy ... -4.82 eV/atom